VASP calculation (PBE-GGA) on a geometry-optimized BaLa2Ni structure.

Summary:
The calculation puts the distance to the lowest polymorph of the same formula at 0.1081 eV/atom. For the formation enthalpy at 0 K, the calculation gives 7 meV/atom. Its density of states at the Fermi level is 1.304 states/eV/atom.

a b c (Å): 6.6038 6.6038 6.9220
angles (deg): 60.42 60.42 34.37
Closest atoms and distances in Å follow each position.
Atoms (fractional coordinates):
La 0.9790 0.9790 0.0926  2 Ni 2.72
La 0.1670 0.1670 0.3810  2 Ni 2.78
Ba 0.8115 0.8115 0.7380  3 Ni 3.55-3.56, 2 La 3.83-3.84, 2 Ba 3.90
Ni 0.5424 0.5424 0.2884  4 La 2.72-2.78